Entry 1:
Below is a relaxed AlCdNO2 crystal, with properties calculated at the PBE level.

Cell lengths 4.0833, 4.0833, 4.1972 Å; angles 90.00, 90.00, 90.00 degrees
With the nearest neighbours (Å) after each atom.
Sites, in units of the cell vectors:
O: 0.5000 0.0000 0.0000  2 Cd 2.04
O: 0.0000 0.5000 0.0000  2 Cd 2.04
Cd: 0.0000 0.0000 0.0000  4 O 2.04, 2 N 2.10
Al: 0.5000 0.5000 0.5000  4 N 2.89, 8 O 2.93
N: 0.0000 0.0000 0.5000  2 Cd 2.10

Calculated values
SG	P4/mmm
formation energy from raw total energies	0.826	eV per atom
DFT total energy	-3.7534	eV per atom

Entry 2:
Below is a relaxed AlCdN2O crystal, with properties calculated at the PBE level.

Cell lengths 3.8951, 3.8951, 3.7352 Å; angles 90.00, 90.00, 90.00 degrees
With the nearest neighbours (Å) after each atom.
Sites, in units of the cell vectors:
N: 0.0000 0.5000 0.0000  2 Al 1.95
N: 0.5000 0.0000 0.0000  2 Al 1.95
Cd: 0.5000 0.5000 0.5000  8 N 2.70, 4 O 2.75
O: 0.0000 0.0000 0.5000  2 Al 1.87
Al: 0.0000 0.0000 0.0000  2 O 1.87, 4 N 1.95

Calculated values
SG	P4/mmm
formation energy from raw total energies	0.100	eV per atom
DFT total energy	-5.1534	eV per atom

Entry 3:
Below is a relaxed AlCdN2O crystal, with properties calculated at the PBE level.

Cell lengths 4.1905, 4.1905, 4.1440 Å; angles 90.00, 90.00, 90.00 degrees
With the nearest neighbours (Å) after each atom.
Sites, in units of the cell vectors:
N: 0.5000 0.0000 0.0000  2 Cd 2.10
N: 0.0000 0.5000 0.0000  2 Cd 2.10
O: 0.0000 0.0000 0.5000  2 Cd 2.07
Al: 0.5000 0.5000 0.5000  8 N 2.95, 4 O 2.96
Cd: 0.0000 0.0000 0.0000  2 O 2.07, 4 N 2.10

Calculated values
SG	P4/mmm
formation energy from raw total energies	1.589	eV per atom
DFT total energy	-3.6646	eV per atom

Entry 4:
Below is a relaxed AlCd2PbN crystal, with properties calculated at the PBE level.

Cell lengths 5.8516, 5.6605, 5.8516 Å; angles 90.00, 90.00, 90.00 degrees
With the nearest neighbours (Å) after each atom.
Sites, in units of the cell vectors:
Cd: 0.0000 0.0000 0.5000  2 Pb 2.93
Cd: 0.5000 0.0000 0.0000  2 Pb 2.93
N: 0.5000 0.5000 0.5000  8 Cd 4.07, 4 Al 4.14
Al: 0.0000 0.5000 0.0000  2 Pb 2.83
Pb: 0.0000 0.0000 0.0000  2 Al 2.83, 4 Cd 2.93

Calculated values
SG	P4/mmm
formation energy from raw total energies	1.525	eV per atom
DFT total energy	-1.9966	eV per atom

Entry 5:
Below is a relaxed AlCdPd2N crystal, with properties calculated at the PBE level.

Cell lengths 4.8739, 3.5300, 4.8739 Å; angles 90.00, 90.00, 90.00 degrees
With the nearest neighbours (Å) after each atom.
Sites, in units of the cell vectors:
Al: 0.0000 0.0000 0.0000  2 N 1.76
Pd: 0.0000 0.0000 0.5000  2 Al 2.44
Pd: 0.5000 0.0000 0.0000  2 Al 2.44
N: 0.0000 0.5000 0.0000  2 Al 1.76
Cd: 0.5000 0.5000 0.5000  8 Pd 3.01

Calculated values
SG	P4/mmm
formation energy from raw total energies	0.194	eV per atom
DFT total energy	-4.4795	eV per atom

Entry 6:
Below is a relaxed Pm12Al4CdN3 crystal, with properties calculated at the PBE level.

Cell lengths 8.8673, 8.8673, 8.8673 Å; angles 109.47, 109.47, 109.47 degrees
With the nearest neighbours (Å) after each atom.
Sites, in units of the cell vectors:
Al: 0.0000 0.0000 0.5000  12 Pm 3.62-3.63
Al: 0.5000 0.5000 0.5000  12 Pm 3.62-3.63
Al: 0.5000 0.0000 0.0000  12 Pm 3.62-3.63
Al: 0.0000 0.5000 0.0000  12 Pm 3.62-3.63
Pm: 0.5000 0.7500 0.2500  2 N 2.56
Pm: 0.2500 0.7500 0.5000  2 N 2.56
Pm: 0.5000 0.2500 0.7500  2 N 2.56
Pm: 0.2756 0.0000 0.2756  1 N 2.30
Pm: 0.0000 0.2756 0.2756  1 N 2.30
Pm: 0.2756 0.2756 0.0000  1 N 2.30
Pm: 0.0000 0.7244 0.7244  1 N 2.30
Pm: 0.7244 0.0000 0.7244  1 N 2.30
Pm: 0.2500 0.5000 0.7500  2 N 2.56
Pm: 0.7500 0.2500 0.5000  2 N 2.56
Pm: 0.7244 0.7244 0.0000  1 N 2.30
Pm: 0.7500 0.5000 0.2500  2 N 2.56
Cd: 0.0000 0.0000 0.0000  6 Pm 2.82
N: 0.5000 0.0000 0.5000  6 Pm 2.30-2.56
N: 0.5000 0.5000 0.0000  6 Pm 2.30-2.56
N: 0.0000 0.5000 0.5000  6 Pm 2.30-2.56

Calculated values
SG	Im-3m
formation energy from raw total energies	-0.437	eV per atom
DFT total energy	-5.3302	eV per atom

Entry 7:
Below is a relaxed AlCdPtN2 crystal, with properties calculated at the PBE level.

Cell lengths 3.8475, 6.0113, 3.8475 Å; angles 90.00, 90.00, 90.00 degrees
With the nearest neighbours (Å) after each atom.
Sites, in units of the cell vectors:
Pt: 0.0000 0.0000 0.0000  4 N 1.92
Al: 0.5000 0.5000 0.5000  4 Cd 2.72
N: 0.0000 0.0000 0.5000  2 Pt 1.92
N: 0.5000 0.0000 0.0000  2 Pt 1.92
Cd: 0.0000 0.5000 0.0000  4 Al 2.72, 2 Pt 3.01

Calculated values
SG	P4/mmm
formation energy from raw total energies	1.163	eV per atom
DFT total energy	-4.3069	eV per atom

Entry 8:
Below is a relaxed Al2CdRhN crystal, with properties calculated at the PBE level.

Cell lengths 3.9059, 4.6452, 3.9059 Å; angles 90.00, 90.00, 90.00 degrees
With the nearest neighbours (Å) after each atom.
Sites, in units of the cell vectors:
Al: 0.5000 0.0000 0.0000  2 N 1.95
Al: 0.0000 0.0000 0.5000  2 N 1.95
N: 0.0000 0.0000 0.0000  4 Al 1.95
Rh: 0.5000 0.5000 0.5000  4 Cd 2.76, 8 Al 3.03
Cd: 0.0000 0.5000 0.0000  2 N 2.32

Calculated values
SG	P4/mmm
formation energy from raw total energies	-0.085	eV per atom
DFT total energy	-4.9000	eV per atom

Entry 9:
Below is a relaxed AlCdSN2 crystal, with properties calculated at the PBE level.

Cell lengths 4.1826, 4.1826, 5.6110 Å; angles 90.00, 90.00, 90.00 degrees
With the nearest neighbours (Å) after each atom.
Sites, in units of the cell vectors:
Cd: 0.0000 0.0000 0.0000  4 N 2.09
N: 0.5000 0.0000 0.0000  2 Cd 2.09
N: 0.0000 0.5000 0.0000  2 Cd 2.09
Al: 0.5000 0.5000 0.5000  4 S 2.96
S: 0.0000 0.0000 0.5000  2 Cd 2.81, 4 Al 2.96

Calculated values
SG	P4/mmm
formation energy from raw total energies	1.651	eV per atom
DFT total energy	-3.4357	eV per atom
offset from the most stable computed form	1.135	eV/atom

Entry 10:
Below is a relaxed AlCdS2N crystal, with properties calculated at the PBE level.

Cell lengths 4.8516, 4.8516, 3.6328 Å; angles 90.00, 90.00, 90.00 degrees
With the nearest neighbours (Å) after each atom.
Sites, in units of the cell vectors:
S: 0.0000 0.5000 0.0000  2 Al 2.43
S: 0.5000 0.0000 0.0000  2 Al 2.43
N: 0.0000 0.0000 0.5000  2 Al 1.82
Al: 0.0000 0.0000 0.0000  2 N 1.82
Cd: 0.5000 0.5000 0.5000  8 S 3.03

Calculated values
SG	P4/mmm
formation energy from raw total energies	0.175	eV per atom
DFT total energy	-4.0723	eV per atom
offset from the most stable computed form	0.000	eV/atom

Entry 11:
Below is a relaxed AlCdS2N crystal, with properties calculated at the PBE level.

Cell lengths 5.0983, 5.0983, 4.1309 Å; angles 90.00, 90.00, 90.00 degrees
With the nearest neighbours (Å) after each atom.
Sites, in units of the cell vectors:
S: 0.5000 0.0000 0.0000  2 Cd 2.55
S: 0.0000 0.5000 0.0000  2 Cd 2.55
Cd: 0.0000 0.0000 0.0000  2 N 2.07
N: 0.0000 0.0000 0.5000  2 Cd 2.07
Al: 0.5000 0.5000 0.5000  8 S 3.28, 4 N 3.61

Calculated values
SG	P4/mmm
formation energy from raw total energies	1.112	eV per atom
DFT total energy	-3.1356	eV per atom
offset from the most stable computed form	0.937	eV/atom

Entry 12:
Below is a relaxed AlCdSN2 crystal, with properties calculated at the PBE level.

Cell lengths 3.7445, 3.7445, 5.3916 Å; angles 90.00, 90.00, 90.00 degrees
With the nearest neighbours (Å) after each atom.
Sites, in units of the cell vectors:
Cd: 0.5000 0.5000 0.5000  4 S 2.65
N: 0.5000 0.0000 0.0000  2 Al 1.87
N: 0.0000 0.5000 0.0000  2 Al 1.87
Al: 0.0000 0.0000 0.0000  4 N 1.87
S: 0.0000 0.0000 0.5000  4 Cd 2.65, 2 Al 2.70

Calculated values
SG	P4/mmm
formation energy from raw total energies	0.517	eV per atom
DFT total energy	-4.5705	eV per atom
offset from the most stable computed form	0.000	eV/atom

Entry 13:
Below is a relaxed AlCdTe2N crystal, with properties calculated at the PBE level.

Cell lengths 5.8539, 5.8539, 3.4437 Å; angles 90.00, 90.00, 90.00 degrees
With the nearest neighbours (Å) after each atom.
Sites, in units of the cell vectors:
Cd: 0.5000 0.5000 0.5000  8 Te 3.40, 2 Cd 3.44
Te: 0.0000 0.5000 0.0000  2 Al 2.93
Te: 0.5000 0.0000 0.0000  2 Al 2.93
N: 0.0000 0.0000 0.5000  2 Al 1.72
Al: 0.0000 0.0000 0.0000  2 N 1.72

Calculated values
SG	P4/mmm
formation energy from raw total energies	0.172	eV per atom
DFT total energy	-3.6809	eV per atom
offset from the most stable computed form	0.000	eV/atom